An optimized crystal structure of LaHf2BeNi. Source: the Alexandria database, functional PBE.

D(E_F), states/eV per cell: 5.0
Energy, eV for the cell shown: -25.27
Formation enthalpy at 0 K, eV per formula unit: 9.08
V, Å³ per cell: 121.80

abc: 5.205 4.495 5.205
angles: 90.00 90.00 90.00
Fractional coordinates of all 5 atoms:
Hf 0.500 0.000 0.000
Hf 0.000 0.000 0.500
La 0.000 0.000 0.000
Be 0.500 0.500 0.500
Ni 0.000 0.500 0.000